1.
# PmYSO2

A relaxed structure of PmYSO2 (PBE, Alexandria).

Unit cell a=3.840 b=3.840 c=6.659 alpha=106.76 beta=106.76 gamma=90.00
Positions (direct):
O  0.253  0.753  0.505
O  0.753  0.253  0.505
Y  0.845  0.845  0.690
S  0.500  0.500  0.000
Pm  0.150  0.150  0.299

Computed properties:
* N(E_F): 0.00 states/eV/cell
* uncorrected formation energy: -3.001 eV/atom
* SG: I4mm, No. 107
* volume: 89.66 Å³/f.u.

---

2.
# Na2SnCl4

A relaxed structure of Na2SnCl4 (PBE, Alexandria).

Unit cell a=4.208 b=7.094 c=7.989 alpha=119.64 beta=105.27 gamma=90.00
Positions (direct):
Na  0.713  0.735  0.425
Sn  0.000  0.000  0.000
Cl  0.874  0.179  0.749
Cl  0.363  0.719  0.726
Cl  0.637  0.281  0.274
Cl  0.126  0.821  0.251
Na  0.287  0.265  0.575

Computed properties:
* polymorph energy (0 for the lowest one): 23 meV/atom
* N(E_F): 0.00 states/eV/cell
* uncorrected formation energy: -1.431 eV/atom
* SG: C2/m, No. 12
* volume: 197.53 Å³/f.u.

---

3.
# Pm8Y2Tl

A relaxed structure of Pm8Y2Tl (PBE, Alexandria).

Unit cell a=5.582 b=7.671 c=9.978 alpha=112.61 beta=106.24 gamma=90.00
Positions (direct):
Pm  0.000  0.261  0.000
Pm  0.820  0.820  0.640
Pm  0.363  0.135  0.727
Tl  0.500  0.000  0.000
Y  0.193  0.693  0.385
Pm  0.180  0.180  0.360
Pm  0.000  0.739  0.000
Pm  0.637  0.409  0.273
Y  0.807  0.307  0.615
Pm  0.363  0.591  0.727
Pm  0.637  0.865  0.273

Computed properties:
* polymorph energy (0 for the lowest one): 66 meV/atom
* N(E_F): 18.94 states/eV/cell
* SG: Immm, No. 71
* volume: 375.86 Å³/f.u.

---

4.
# La8SmEr6

A relaxed structure of La8SmEr6 (PBE, Alexandria).

Unit cell a=6.663 b=9.448 c=9.448 alpha=120.00 beta=90.00 gamma=90.00
Positions (direct):
Er  0.653  0.660  0.100
Er  0.653  0.440  0.340
Sm  0.500  0.000  0.000
La  0.831  0.248  0.953
Er  0.653  0.900  0.560
La  0.831  0.047  0.294
La  0.121  0.667  0.333
Er  0.347  0.100  0.440
La  0.831  0.706  0.752
La  0.169  0.953  0.706
Er  0.347  0.340  0.900
La  0.169  0.294  0.248
La  0.879  0.333  0.667
Er  0.347  0.560  0.660
La  0.169  0.752  0.047

Computed properties:
* final energy: -4.598 eV/atom
* N(E_F): 25.39 states/eV/cell
* SG: P-3, No. 147
* volume: 515.11 Å³/f.u.

---

5.
# Er6Sn2SbTe3

A relaxed structure of Er6Sn2SbTe3 (PBE, Alexandria).

Unit cell a=4.359 b=8.721 c=9.739 alpha=102.87 beta=102.93 gamma=90.00
Positions (direct):
Er  0.330  0.425  0.661
Sb  0.500  0.000  0.000
Sn  0.167  0.333  0.334
Er  0.670  0.575  0.339
Sn  0.833  0.667  0.666
Te  0.165  0.834  0.330
Te  0.835  0.166  0.670
Er  0.335  0.906  0.670
Er  0.995  0.755  0.991
Er  0.005  0.245  0.009
Te  0.500  0.500  0.000
Er  0.665  0.094  0.330

Computed properties:
* N(E_F): 2.02 states/eV/cell
* uncorrected formation energy: -1.081 eV/atom
* SG: C2/m, No. 12
* volume: 351.28 Å³/f.u.

---

6.
# TiReSe4

A relaxed structure of TiReSe4 (PBE, Alexandria).

Unit cell a=7.058 b=7.058 c=7.058 alpha=103.93 beta=103.93 gamma=121.23
Positions (direct):
Re  0.510  0.010  0.500
Ti  0.982  0.482  0.500
Se  0.791  0.004  0.787
Ti  0.232  0.232  0.000
Se  0.249  0.951  0.701
Se  0.754  0.467  0.713
Se  0.249  0.548  0.299
Se  0.217  0.004  0.213
Se  0.701  0.499  0.201
Se  0.298  0.499  0.799
Re  0.760  0.760  0.000
Se  0.754  0.041  0.287

Computed properties:
* N(E_F): 9.55 states/eV/cell
* uncorrected formation energy: -0.446 eV/atom
* SG: I4_1md, No. 109
* volume: 130.98 Å³/f.u.

---

7.
# CaFeIr2

A relaxed structure of CaFeIr2 (PBE, Alexandria).

Unit cell a=8.989 b=8.989 c=8.989 alpha=18.64 beta=18.64 gamma=18.64
Site moments in Bohr magnetons follow the coordinates.
Positions (direct):
Fe  0.750  0.750  0.750  2.93
Ir  0.009  0.009  0.009  0.33
Ir  0.491  0.491  0.491  0.33
Ca  0.250  0.250  0.250  -0.04

Computed properties:
* polymorph energy (0 for the lowest one): 240 meV/atom
* N(E_F): 5.54 states/eV/cell
* SG: R-3m, No. 166
* volume: 64.86 Å³/f.u.

---

8.
# ReTcAg

A relaxed structure of ReTcAg (PBE, Alexandria).

Unit cell a=4.279 b=4.279 c=4.279 alpha=60.00 beta=60.00 gamma=60.00
Positions (direct):
Re  0.750  0.750  0.750
Ag  0.500  0.500  0.500
Tc  0.000  0.000  0.000

Computed properties:
* polymorph energy (0 for the lowest one): 789 meV/atom
* N(E_F): 3.98 states/eV/cell
* SG: F-43m, No. 216
* volume: 55.39 Å³/f.u.

---

9.
# Tm8C3S3O

A relaxed structure of Tm8C3S3O (PBE, Alexandria).

Unit cell a=7.217 b=7.217 c=7.415 alpha=119.12 beta=90.00 gamma=120.00
Positions (direct):
Tm  0.757  0.028  0.285
Tm  0.243  0.486  0.715
C  0.500  0.000  0.500
O  0.000  0.000  0.500
Tm  0.757  0.514  0.285
Tm  0.262  0.524  0.286
S  0.000  0.500  0.000
Tm  0.738  0.476  0.714
C  0.000  0.500  0.500
C  0.500  0.500  0.500
S  0.500  0.500  0.000
Tm  0.271  0.028  0.285
S  0.000  0.000  0.000
Tm  0.243  0.972  0.715
Tm  0.729  0.972  0.715

Computed properties:
* N(E_F): 5.49 states/eV/cell
* uncorrected formation energy: -1.445 eV/atom
* SG: R-3m, No. 166
* volume: 276.67 Å³/f.u.

---

10.
# Ba6Pm

A relaxed structure of Ba6Pm (PBE, Alexandria).

Unit cell a=8.048 b=8.048 c=8.048 alpha=109.47 beta=109.47 gamma=109.47
Site moments in Bohr magnetons follow the coordinates.
Positions (direct):
Ba  0.750  0.500  0.250  -0.01
Ba  0.250  0.500  0.750  -0.01
Ba  0.500  0.750  0.250  -0.01
Ba  0.750  0.250  0.500  -0.01
Ba  0.250  0.750  0.500  -0.01
Ba  0.500  0.250  0.750  -0.01
Pm  0.000  0.000  0.000  -0.05

Computed properties:
* final energy: -1.303 eV/atom
* N(E_F): 11.56 states/eV/cell
* SG: Im-3m, No. 229
* volume: 401.35 Å³/f.u.

---

11.
# CrCd6Pd12

A relaxed structure of CrCd6Pd12 (PBE, Alexandria).

Unit cell a=6.908 b=6.908 c=6.908 alpha=92.56 beta=92.56 gamma=92.56
Site moments in Bohr magnetons follow the coordinates.
Positions (direct):
Cd  0.876  0.265  0.709  0.00
Pd  0.792  0.542  0.459  0.01
Pd  0.459  0.792  0.542  0.01
Cd  0.265  0.709  0.876  0.00
Pd  0.640  0.958  0.867  0.04
Pd  0.208  0.458  0.541  0.01
Pd  0.867  0.640  0.958  0.04
Pd  0.360  0.042  0.133  0.04
Pd  0.541  0.208  0.458  0.01
Cd  0.124  0.735  0.291  0.00
Cd  0.291  0.124  0.735  0.00
Cd  0.735  0.291  0.124  0.00
Pd  0.042  0.133  0.360  0.04
Cd  0.709  0.876  0.265  0.00
Pd  0.458  0.541  0.208  0.01
Pd  0.958  0.867  0.640  0.04
Pd  0.542  0.459  0.792  0.01
Cr  0.000  0.000  0.000  3.15
Pd  0.133  0.360  0.042  0.04

Computed properties:
* final energy: -4.225 eV/atom
* N(E_F): 11.00 states/eV/cell
* SG: R-3, No. 148
* volume: 328.70 Å³/f.u.

---

12.
# AlIn2W

A relaxed structure of AlIn2W (PBE, Alexandria).

Unit cell a=5.097 b=2.929 c=5.172 alpha=92.34 beta=90.00 gamma=90.00
Positions (direct):
In  0.000  0.533  0.497
Al  0.500  0.750  0.750
In  0.000  0.967  0.003
W  0.500  0.250  0.250

Computed properties:
* final energy: -5.086 eV/atom
* N(E_F): 1.96 states/eV/cell
* SG: P2/m, No. 10
* volume: 77.15 Å³/f.u.

---

Please write out number 3 again, unchanged.
# Pm8Y2Tl

A relaxed structure of Pm8Y2Tl (PBE, Alexandria).

Unit cell a=5.582 b=7.671 c=9.978 alpha=112.61 beta=106.24 gamma=90.00
Positions (direct):
Pm  0.000  0.261  0.000
Pm  0.820  0.820  0.640
Pm  0.363  0.135  0.727
Tl  0.500  0.000  0.000
Y  0.193  0.693  0.385
Pm  0.180  0.180  0.360
Pm  0.000  0.739  0.000
Pm  0.637  0.409  0.273
Y  0.807  0.307  0.615
Pm  0.363  0.591  0.727
Pm  0.637  0.865  0.273

Computed properties:
* polymorph energy (0 for the lowest one): 66 meV/atom
* N(E_F): 18.94 states/eV/cell
* SG: Immm, No. 71
* volume: 375.86 Å³/f.u.